Density functional theory data (PBE) for a geometry-optimized MnFeCu3 structure.

Properties
E_tot = -4.929 eV per atom
energy relative to the elements = 1.055 eV per atom

abc: 4.407 4.407 4.407
angles: 90.00 90.00 90.00
Space group Pm-3m (No. 221)
Unique sites:
1 Mn 0.000 0.000 0.000
2 Fe 0.500 0.500 0.500
3 Cu 0.000 0.500 0.500

---

Density functional theory data (PBE) for a geometry-optimized Mn2FeCu2 structure.

Properties
E_tot = -6.379 eV per atom
energy relative to the elements = 0.620 eV per atom

abc: 3.361 3.361 11.353
angles: 90.00 90.00 90.00
Space group I4/mmm (No. 139)
Unique sites:
1 Mn 0.000 0.000 0.087
2 Fe 0.000 0.000 0.500
3 Cu 0.000 0.500 0.250

---

Density functional theory data (PBE) for a geometry-optimized MnFe4Cu structure.

Properties
E_tot = -7.598 eV per atom
energy relative to the elements = 0.255 eV per atom

abc: 6.662 6.662 6.662
angles: 90.00 90.00 90.00
Space group F-43m (No. 216)
Unique sites:
1 Mn 0.000 0.000 0.000
2 Fe 0.125 0.125 0.375
3 Cu 0.250 0.250 0.750

---

Density functional theory data (PBE) for a geometry-optimized Mn2FeCu2 structure.

Properties
E_tot = -6.298 eV per atom
energy relative to the elements = 0.701 eV per atom

abc: 6.525 6.525 2.808
angles: 90.00 90.00 90.00
Space group P4/mbm (No. 127)
Unique sites:
1 Mn 0.106 0.394 0.000
2 Fe 0.000 0.000 0.000
3 Cu 0.190 0.690 0.500

---

Density functional theory data (PBE) for a geometry-optimized Mn2FeCuN structure.

Properties
E_tot = -7.927 eV per atom
uncorrected formation energy = -0.41 eV/f.u.

abc: 3.900 3.900 3.667
angles: 90.00 90.00 90.00
Space group P4/mmm (No. 123)
Unique sites:
1 Mn 0.000 0.500 0.000
2 Fe 0.000 0.000 0.500
3 Cu 0.500 0.500 0.500
4 N 0.000 0.000 0.000

---

Density functional theory data (PBE) for a geometry-optimized MnFe2CuN structure.

Properties
E_tot = -7.756 eV per atom
uncorrected formation energy = -0.26 eV/f.u.

abc: 3.771 3.771 3.918
angles: 90.00 90.00 90.00
Space group P4/mmm (No. 123)
Unique sites:
1 Mn 0.000 0.000 0.000
2 Fe 0.000 0.500 0.500
3 Cu 0.500 0.500 0.000
4 N 0.000 0.000 0.500